## W2CSO (PBE+U)

Data for crystalline W2CSO at its relaxed geometry.

```
W2CSO
1.0
-1.878 -3.441 -1.642
2.615 -0.155 -2.667
2.386 -2.488 2.485
W S O C
2 1 1 1
Direct
0.000 0.000 0.500 W
0.500 0.000 0.000 W
0.500 0.500 0.500 S
0.000 0.500 0.000 O
0.000 0.000 0.000 C
```

Output
- Energy: -27.2 eV per cell